A geometry-optimized CrCuO2 structure, computed with PBE+U.

abc: 5.337 5.337 5.337
angles: 90.00 90.00 90.00
Space group Fm-3m (No. 225)
Asymmetric unit:
Cr: 0.000 0.000 0.000
Cu: 0.000 0.000 0.500
O: 0.250 0.250 0.250

Summary:
* E above lowest polymorph: 0.925 eV/atom
* DOS at the Fermi energy: 4.85 states/eV per cell
* spin magnetization: 12.00 μB/cell